Here is a geometry-optimized AcNiSe2O8 structure from Alexandria. Energies are from PBE+U.

a b c (Å): 5.0575 5.0575 21.1682
angles (deg): 90.00 90.00 120.00
Space group R-3 (No. 148, hexagonal axes)
Inequivalent atoms, fractional coordinates:
Ac 0.0000 0.0000 0.0000 x3
Ni 0.0000 0.0000 0.5000 x3
Se 0.0000 0.0000 0.2376 x6
O 0.0000 0.0000 0.3186 x6
O 0.0007 0.3434 0.7735 x18

Computed properties:
E_tot in eV for the cell shown: -204.0
DOS(E_F) in states/eV per cell: 16.28